1.
An optimized crystal structure of MoRhBr. Source: the Alexandria database, functional GGA-PBEsol.

Structure (CIF):
```
data_MoRhBr
_chemical_formula_sum 'Mo1 Rh1 Br1'
_cell_length_a 4.224
_cell_length_b 4.224
_cell_length_c 4.224
_cell_angle_alpha 60.00
_cell_angle_beta 60.00
_cell_angle_gamma 60.00
_symmetry_space_group_name_H-M 'P 1'
_symmetry_Int_Tables_number 1
_symmetry_space_group_name_Hall 'P 1'
loop_
_atom_site_label
_atom_site_fract_x
_atom_site_fract_y
_atom_site_fract_z
_atom_site_occupancy
Br1 0.500 0.500 0.500 1
Rh1 0.000 0.000 0.000 1
Mo1 0.250 0.250 0.250 1
```



2.
An optimized crystal structure of MoRhBr. Source: the Alexandria database, functional GGA-PBEsol.

Structure (CIF):
```
data_MoRhBr
_chemical_formula_sum 'Mo1 Rh1 Br1'
_cell_length_a 2.948
_cell_length_b 4.277
_cell_length_c 4.277
_cell_angle_alpha 120.00
_cell_angle_beta 90.00
_cell_angle_gamma 90.00
_symmetry_space_group_name_H-M 'P 1'
_symmetry_Int_Tables_number 1
_symmetry_space_group_name_Hall 'P 1'
loop_
_atom_site_label
_atom_site_fract_x
_atom_site_fract_y
_atom_site_fract_z
_atom_site_occupancy
Rh1 0.323 0.667 0.333 1
Mo1 0.812 0.333 0.667 1
Br1 0.865 0.000 0.000 1
```



The most stable of them is 2.